# Rb2Sc2P

Crystalline Rb2Sc2P at its relaxed geometry (PBE-GGA, Alexandria).

## Properties
DFT total energy	-3.401	eV per atom
formation energy from the elements	0.601	eV per atom
total moment	2.37	μB/f.u.

abc: 4.0871 4.0871 23.8509
angles: 90.00 90.00 90.00
Closest atoms and distances in Å follow each position.
Space group I4/mmm (No. 139)
One atom of each set of equivalent atoms:
1 Rb 0.0000 0.0000 0.0825 [4 per cell]  4 P 3.50
2 Sc 0.0000 0.5000 0.2500 [4 per cell]  4 Sc 2.89
3 P 0.0000 0.0000 0.5000 [2 per cell]  8 Rb 3.50